# GGA-PBE TlAsRu2, relaxed
# M_tot: 0.0 μB per cell
# Relative energy among the computed polymorphs: 416 meV per atom
# Mass density: 11.492 g/cm3
# Calculated volume: 17.4 Å³/atom
# E_form: 613 meV per atom
data_TlAsRu2
_cell_length_a 6.1004
_cell_length_b 8.4431
_cell_length_c 3.0564
_cell_angle_alpha 90.00
_cell_angle_beta 117.90
_cell_angle_gamma 90.00
_symmetry_space_group_name_H-M 'C 1 2/m 1'
_symmetry_Int_Tables_number 12
loop_
_symmetry_equiv_pos_as_xyz
'x,y,z'
'-x,-y,-z'
'-x,y,-z'
'x,-y,z'
'x+1/2,y+1/2,z'
'-x+1/2,-y+1/2,-z'
'-x+1/2,y+1/2,-z'
'x+1/2,-y+1/2,z'
loop_
_atom_site_label
_atom_site_fract_x
_atom_site_fract_y
_atom_site_fract_z
_atom_site_occupancy
Tl1 0.0000 0.0000 0.0000 1
As1 0.0000 0.5000 0.0000 1
Ru1 0.2500 0.2500 0.5000 1

# GGA-PBE TlAsRu2, relaxed
# M_tot: 0.0 μB per cell
# Relative energy among the computed polymorphs: 55 meV per atom
# Mass density: 11.781 g/cm3
# Calculated volume: 17.0 Å³/atom
# E_form: 251 meV per atom
data_TlAsRu2
_cell_length_a 3.1241
_cell_length_b 3.1241
_cell_length_c 24.0868
_cell_angle_alpha 90.00
_cell_angle_beta 90.00
_cell_angle_gamma 120.00
_symmetry_space_group_name_H-M 'R -3 m'
_symmetry_Int_Tables_number 166
_symmetry_space_group_name_Hall '-R 3 2"'
loop_
_atom_site_label
_atom_site_fract_x
_atom_site_fract_y
_atom_site_fract_z
_atom_site_occupancy
Tl1 0.0000 0.0000 0.0000 1
As1 0.0000 0.0000 0.5000 1
Ru1 0.0000 0.0000 0.2378 1

# GGA-PBE TlAsRu2, relaxed
# M_tot: 0.0 μB per cell
# Relative energy among the computed polymorphs: 113 meV per atom
# Mass density: 10.427 g/cm3
# Calculated volume: 19.2 Å³/atom
# E_form: 309 meV per atom
data_TlAsRu2
_cell_length_a 8.5944
_cell_length_b 3.0351
_cell_length_c 5.9837
_cell_angle_alpha 90.00
_cell_angle_beta 100.75
_cell_angle_gamma 90.00
_symmetry_space_group_name_H-M 'C 1 m 1'
_symmetry_Int_Tables_number 8
loop_
_symmetry_equiv_pos_as_xyz
'x,y,z'
'x,-y,z'
'x+1/2,y+1/2,z'
'x+1/2,-y+1/2,z'
loop_
_atom_site_label
_atom_site_fract_x
_atom_site_fract_y
_atom_site_fract_z
_atom_site_occupancy
Tl1 0.0000 0.0000 0.0000 1
As1 0.1994 0.0000 0.5607 1
Ru1 0.2664 0.5000 0.2752 1
Ru2 0.4810 0.0000 0.5646 1

# GGA-PBE TlAsRu4, relaxed
# M_tot: 5.7 μB per cell
# Mass density: 11.246 g/cm3
# Calculated volume: 16.8 Å³/atom
# E_form: 676 meV per atom
data_TlAsRu4
_cell_length_a 7.3911
_cell_length_b 7.3911
_cell_length_c 7.3911
_cell_angle_alpha 90.00
_cell_angle_beta 90.00
_cell_angle_gamma 90.00
_symmetry_space_group_name_H-M 'F -4 3 m'
_symmetry_Int_Tables_number 216
_symmetry_space_group_name_Hall 'F -4 2 3'
loop_
_atom_site_label
_atom_site_fract_x
_atom_site_fract_y
_atom_site_fract_z
_atom_site_occupancy
Tl1 0.0000 0.0000 0.0000 1
As1 0.2500 0.2500 0.7500 1
Ru1 0.1244 0.1244 0.3756 1

# GGA-PBE Tl2AsRu, relaxed
# M_tot: 0.0 μB per cell
# Relative energy among the computed polymorphs: 618 meV per atom
# Mass density: 11.417 g/cm3
# Calculated volume: 21.3 Å³/atom
# E_form: 668 meV per atom
data_Tl2AsRu
_cell_length_a 6.9810
_cell_length_b 6.9810
_cell_length_c 6.9810
_cell_angle_alpha 90.00
_cell_angle_beta 90.00
_cell_angle_gamma 90.00
_symmetry_space_group_name_H-M 'F -4 3 m'
_symmetry_Int_Tables_number 216
_symmetry_space_group_name_Hall 'F -4 2 3'
loop_
_atom_site_label
_atom_site_fract_x
_atom_site_fract_y
_atom_site_fract_z
_atom_site_occupancy
Tl1 0.0000 0.0000 0.0000 1
Tl2 0.2500 0.2500 0.2500 1
As1 0.0000 0.0000 0.5000 1
Ru1 0.2500 0.2500 0.7500 1

# GGA-PBE TlAsRu2, relaxed
# M_tot: 0.0 μB per cell
# Relative energy among the computed polymorphs: 0 meV per atom
# Mass density: 10.479 g/cm3
# Calculated volume: 19.1 Å³/atom
# E_form: 196 meV per atom
data_TlAsRu2
_cell_length_a 7.2172
_cell_length_b 3.0270
_cell_length_c 7.5185
_cell_angle_alpha 90.00
_cell_angle_beta 111.73
_cell_angle_gamma 90.00
_symmetry_space_group_name_H-M 'C 1 2/m 1'
_symmetry_Int_Tables_number 12
loop_
_symmetry_equiv_pos_as_xyz
'x,y,z'
'-x,-y,-z'
'-x,y,-z'
'x,-y,z'
'x+1/2,y+1/2,z'
'-x+1/2,-y+1/2,-z'
'-x+1/2,y+1/2,-z'
'x+1/2,-y+1/2,z'
loop_
_atom_site_label
_atom_site_fract_x
_atom_site_fract_y
_atom_site_fract_z
_atom_site_occupancy
Tl1 0.0000 0.0000 0.0000 1
As1 0.0000 0.5000 0.5000 1
Ru1 0.2214 0.5000 0.3288 1

# GGA-PBE Tl2AsRu, relaxed
# M_tot: 0.6 μB per cell
# Relative energy among the computed polymorphs: 579 meV per atom
# Mass density: 11.660 g/cm3
# Calculated volume: 20.8 Å³/atom
# E_form: 630 meV per atom
data_Tl2AsRu
_cell_length_a 4.3763
_cell_length_b 4.3763
_cell_length_c 8.6966
_cell_angle_alpha 90.00
_cell_angle_beta 90.00
_cell_angle_gamma 90.00
_symmetry_space_group_name_H-M 'I -4 m 2'
_symmetry_Int_Tables_number 119
_symmetry_space_group_name_Hall 'I -4 -2'
loop_
_atom_site_label
_atom_site_fract_x
_atom_site_fract_y
_atom_site_fract_z
_atom_site_occupancy
Tl1 0.0000 0.0000 0.0000 1
Tl2 0.0000 0.5000 0.2500 1
As1 0.0000 0.5000 0.7500 1
Ru1 0.0000 0.0000 0.5000 1

# GGA-PBE TlAsRu2, relaxed
# M_tot: 3.4 μB per cell
# Relative energy among the computed polymorphs: 443 meV per atom
# Mass density: 11.677 g/cm3
# Calculated volume: 17.1 Å³/atom
# E_form: 640 meV per atom
data_TlAsRu2
_cell_length_a 3.8410
_cell_length_b 3.8410
_cell_length_c 9.2814
_cell_angle_alpha 90.00
_cell_angle_beta 90.00
_cell_angle_gamma 90.00
_symmetry_space_group_name_H-M 'I -4 m 2'
_symmetry_Int_Tables_number 119
_symmetry_space_group_name_Hall 'I -4 -2'
loop_
_atom_site_label
_atom_site_fract_x
_atom_site_fract_y
_atom_site_fract_z
_atom_site_occupancy
Tl1 0.0000 0.0000 0.0000 1
As1 0.0000 0.5000 0.2500 1
Ru1 0.0000 0.0000 0.5000 1
Ru2 0.0000 0.5000 0.7500 1

# GGA-PBE TlAs3Ru, relaxed
# M_tot: 0.0 μB per cell
# Relative energy among the computed polymorphs: 0 meV per atom
# Mass density: 7.565 g/cm3
# Calculated volume: 23.3 Å³/atom
# E_form: 378 meV per atom
data_TlAs3Ru
_cell_length_a 4.8824
_cell_length_b 4.8824
_cell_length_c 4.8824
_cell_angle_alpha 90.00
_cell_angle_beta 90.00
_cell_angle_gamma 90.00
_symmetry_space_group_name_H-M 'P m -3 m'
_symmetry_Int_Tables_number 221
_symmetry_space_group_name_Hall '-P 4 2 3'
loop_
_atom_site_label
_atom_site_fract_x
_atom_site_fract_y
_atom_site_fract_z
_atom_site_occupancy
Tl1 0.0000 0.0000 0.0000 1
As1 0.0000 0.5000 0.5000 1
Ru1 0.5000 0.5000 0.5000 1

# GGA-PBE Tl2AsRu, relaxed
# M_tot: 0.0 μB per cell
# Relative energy among the computed polymorphs: 145 meV per atom
# Mass density: 10.345 g/cm3
# Calculated volume: 23.5 Å³/atom
# E_form: 196 meV per atom
data_Tl2AsRu
_cell_length_a 3.1391
_cell_length_b 4.6781
_cell_length_c 12.7837
_cell_angle_alpha 90.00
_cell_angle_beta 90.00
_cell_angle_gamma 90.00
_symmetry_space_group_name_H-M 'I m m 2'
_symmetry_Int_Tables_number 44
loop_
_symmetry_equiv_pos_as_xyz
'x,y,z'
'-x,-y,z'
'-x,y,z'
'x,-y,z'
'x+1/2,y+1/2,z+1/2'
'-x+1/2,-y+1/2,z+1/2'
'-x+1/2,y+1/2,z+1/2'
'x+1/2,-y+1/2,z+1/2'
loop_
_atom_site_label
_atom_site_fract_x
_atom_site_fract_y
_atom_site_fract_z
_atom_site_occupancy
Tl1 0.0000 0.0000 0.0000 1
Tl2 0.0000 0.5000 0.1926 1
As1 0.0000 0.5000 0.8232 1
Ru1 0.0000 0.0000 0.4691 1

# GGA-PBE Tl2AsRu, relaxed
# M_tot: 0.0 μB per cell
# Relative energy among the computed polymorphs: 560 meV per atom
# Mass density: 11.668 g/cm3
# Calculated volume: 20.8 Å³/atom
# E_form: 610 meV per atom
data_Tl2AsRu
_cell_length_a 3.6291
_cell_length_b 3.5967
_cell_length_c 6.4151
_cell_angle_alpha 90.00
_cell_angle_beta 96.36
_cell_angle_gamma 90.00
_symmetry_space_group_name_H-M 'P 1 2/m 1'
_symmetry_Int_Tables_number 10
loop_
_symmetry_equiv_pos_as_xyz
'x,y,z'
'-x,-y,-z'
'-x,y,-z'
'x,-y,z'
loop_
_atom_site_label
_atom_site_fract_x
_atom_site_fract_y
_atom_site_fract_z
_atom_site_occupancy
Tl1 0.0062 0.0000 0.2373 1
As1 0.5000 0.5000 0.5000 1
Ru1 0.5000 0.5000 0.0000 1

# GGA-PBE Tl2AsRu, relaxed
# M_tot: 0.0 μB per cell
# Relative energy among the computed polymorphs: 663 meV per atom
# Mass density: 11.517 g/cm3
# Calculated volume: 21.1 Å³/atom
# E_form: 713 meV per atom
data_Tl2AsRu
_cell_length_a 6.9607
_cell_length_b 6.9607
_cell_length_c 6.9607
_cell_angle_alpha 90.00
_cell_angle_beta 90.00
_cell_angle_gamma 90.00
_symmetry_space_group_name_H-M 'F m -3 m'
_symmetry_Int_Tables_number 225
_symmetry_space_group_name_Hall '-F 4 2 3'
loop_
_atom_site_label
_atom_site_fract_x
_atom_site_fract_y
_atom_site_fract_z
_atom_site_occupancy
Tl1 0.2500 0.2500 0.2500 1
As1 0.0000 0.0000 0.0000 1
Ru1 0.0000 0.0000 0.5000 1

# GGA-PBE TlAsRu2, relaxed
# M_tot: 0.0 μB per cell
# Relative energy among the computed polymorphs: 2 meV per atom
# Mass density: 12.304 g/cm3
# Calculated volume: 16.2 Å³/atom
# E_form: 198 meV per atom
data_TlAsRu2
_cell_length_a 4.3390
_cell_length_b 4.3657
_cell_length_c 6.8600
_cell_angle_alpha 90.00
_cell_angle_beta 90.00
_cell_angle_gamma 90.00
_symmetry_space_group_name_H-M 'C m m m'
_symmetry_Int_Tables_number 65
_symmetry_space_group_name_Hall '-C 2 2'
loop_
_atom_site_label
_atom_site_fract_x
_atom_site_fract_y
_atom_site_fract_z
_atom_site_occupancy
Tl1 0.0000 0.0000 0.0000 1
As1 0.0000 0.0000 0.5000 1
Ru1 0.0000 0.5000 0.2917 1

# GGA-PBE TlAsRu3, relaxed
# M_tot: 0.0 μB per cell
# Relative energy among the computed polymorphs: 0 meV per atom
# Mass density: 10.242 g/cm3
# Calculated volume: 18.9 Å³/atom
# E_form: 790 meV per atom
data_TlAsRu3
_cell_length_a 4.5539
_cell_length_b 4.5539
_cell_length_c 4.5539
_cell_angle_alpha 90.00
_cell_angle_beta 90.00
_cell_angle_gamma 90.00
_symmetry_space_group_name_H-M 'P m -3 m'
_symmetry_Int_Tables_number 221
_symmetry_space_group_name_Hall '-P 4 2 3'
loop_
_atom_site_label
_atom_site_fract_x
_atom_site_fract_y
_atom_site_fract_z
_atom_site_occupancy
Tl1 0.0000 0.0000 0.0000 1
As1 0.5000 0.5000 0.5000 1
Ru1 0.0000 0.5000 0.5000 1

# GGA-PBE TlAsRu2, relaxed
# M_tot: 1.1 μB per cell
# Relative energy among the computed polymorphs: 152 meV per atom
# Mass density: 11.270 g/cm3
# Calculated volume: 17.7 Å³/atom
# E_form: 348 meV per atom
data_TlAsRu2
_cell_length_a 3.2794
_cell_length_b 3.2794
_cell_length_c 6.5961
_cell_angle_alpha 90.00
_cell_angle_beta 90.00
_cell_angle_gamma 90.00
_symmetry_space_group_name_H-M 'P 4 m m'
_symmetry_Int_Tables_number 99
loop_
_symmetry_equiv_pos_as_xyz
'x,y,z'
'-y,x,z'
'-x,-y,z'
'y,-x,z'
'-x,y,z'
'y,x,z'
'x,-y,z'
'-y,-x,z'
loop_
_atom_site_label
_atom_site_fract_x
_atom_site_fract_y
_atom_site_fract_z
_atom_site_occupancy
Tl1 0.0000 0.0000 0.0000 1
As1 0.5000 0.5000 0.3507 1
Ru1 0.0000 0.0000 0.4971 1
Ru2 0.5000 0.5000 0.7445 1

# GGA-PBE TlAsRu3, relaxed
# M_tot: 5.9 μB per cell
# Relative energy among the computed polymorphs: 1533 meV per atom
# Mass density: 7.827 g/cm3
# Calculated volume: 24.7 Å³/atom
# E_form: 2323 meV per atom
data_TlAsRu3
_cell_length_a 4.9810
_cell_length_b 4.9810
_cell_length_c 4.9810
_cell_angle_alpha 90.00
_cell_angle_beta 90.00
_cell_angle_gamma 90.00
_symmetry_space_group_name_H-M 'P m -3 m'
_symmetry_Int_Tables_number 221
_symmetry_space_group_name_Hall '-P 4 2 3'
loop_
_atom_site_label
_atom_site_fract_x
_atom_site_fract_y
_atom_site_fract_z
_atom_site_occupancy
Tl1 0.0000 0.0000 0.0000 1
As1 0.5000 0.5000 0.5000 1
Ru1 0.0000 0.0000 0.5000 1

# GGA-PBE Tl2AsRu, relaxed
# M_tot: 0.0 μB per cell
# Relative energy among the computed polymorphs: 562 meV per atom
# Mass density: 11.575 g/cm3
# Calculated volume: 21.0 Å³/atom
# E_form: 613 meV per atom
data_Tl2AsRu
_cell_length_a 3.5836
_cell_length_b 5.1304
_cell_length_c 9.1252
_cell_angle_alpha 90.00
_cell_angle_beta 90.00
_cell_angle_gamma 90.00
_symmetry_space_group_name_H-M 'I m m m'
_symmetry_Int_Tables_number 71
_symmetry_space_group_name_Hall '-I 2 2'
loop_
_atom_site_label
_atom_site_fract_x
_atom_site_fract_y
_atom_site_fract_z
_atom_site_occupancy
Tl1 0.0000 0.0000 0.2397 1
As1 0.0000 0.5000 0.0000 1
Ru1 0.0000 0.5000 0.5000 1

# GGA-PBE Tl2AsRu, relaxed
# M_tot: 0.0 μB per cell
# Relative energy among the computed polymorphs: 602 meV per atom
# Mass density: 11.494 g/cm3
# Calculated volume: 21.1 Å³/atom
# E_form: 653 meV per atom
data_Tl2AsRu
_cell_length_a 3.5558
_cell_length_b 4.5855
_cell_length_c 5.1814
_cell_angle_alpha 90.00
_cell_angle_beta 90.00
_cell_angle_gamma 90.00
_symmetry_space_group_name_H-M 'P m m m'
_symmetry_Int_Tables_number 47
loop_
_symmetry_equiv_pos_as_xyz
'x,y,z'
'-x,-y,-z'
'-x,-y,z'
'x,y,-z'
'x,-y,-z'
'-x,y,z'
'-x,y,-z'
'x,-y,z'
loop_
_atom_site_label
_atom_site_fract_x
_atom_site_fract_y
_atom_site_fract_z
_atom_site_occupancy
Tl1 0.0000 0.0000 0.0000 1
Tl2 0.5000 0.0000 0.5000 1
As1 0.0000 0.5000 0.5000 1
Ru1 0.5000 0.5000 0.0000 1

# GGA-PBE Tl2AsRu, relaxed
# M_tot: 0.0 μB per cell
# Relative energy among the computed polymorphs: 118 meV per atom
# Mass density: 10.252 g/cm3
# Calculated volume: 23.7 Å³/atom
# E_form: 168 meV per atom
data_Tl2AsRu
_cell_length_a 10.2932
_cell_length_b 3.2334
_cell_length_c 6.3424
_cell_angle_alpha 90.00
_cell_angle_beta 116.18
_cell_angle_gamma 90.00
_symmetry_space_group_name_H-M 'C 1 m 1'
_symmetry_Int_Tables_number 8
loop_
_symmetry_equiv_pos_as_xyz
'x,y,z'
'x,-y,z'
'x+1/2,y+1/2,z'
'x+1/2,-y+1/2,z'
loop_
_atom_site_label
_atom_site_fract_x
_atom_site_fract_y
_atom_site_fract_z
_atom_site_occupancy
Tl1 0.0000 0.0000 0.0000 1
Tl2 0.1605 0.0000 0.6245 1
As1 0.3251 0.5000 0.2621 1
Ru1 0.4132 0.0000 0.5737 1

# GGA-PBE TlAsRu2, relaxed
# M_tot: 0.0 μB per cell
# Relative energy among the computed polymorphs: 156 meV per atom
# Mass density: 11.618 g/cm3
# Calculated volume: 17.2 Å³/atom
# E_form: 352 meV per atom
data_TlAsRu2
_cell_length_a 3.1085
_cell_length_b 3.8694
_cell_length_c 5.8361
_cell_angle_alpha 90.00
_cell_angle_beta 101.41
_cell_angle_gamma 90.00
_symmetry_space_group_name_H-M 'P 1 2/m 1'
_symmetry_Int_Tables_number 10
loop_
_symmetry_equiv_pos_as_xyz
'x,y,z'
'-x,-y,-z'
'-x,y,-z'
'x,-y,z'
loop_
_atom_site_label
_atom_site_fract_x
_atom_site_fract_y
_atom_site_fract_z
_atom_site_occupancy
Tl1 0.0000 0.0000 0.0000 1
As1 0.5000 0.0000 0.5000 1
Ru1 0.3386 0.5000 0.7143 1

| no. | uncorrected energy (Ha/atom) |
| --- | --- |
| 1 | -0.21238 |
| 2 | -0.22568 |
| 3 | -0.22355 |
| 4 | -0.24537 |
| 5 | -0.14685 |
| 6 | -0.22769 |
| 7 | -0.14828 |
| 8 | -0.21139 |
| 9 | -0.17421 |
| 10 | -0.16423 |
| 11 | -0.14900 |
| 12 | -0.14521 |
| 13 | -0.22763 |
| 14 | -0.22705 |
| 15 | -0.22212 |
| 16 | -0.17072 |
| 17 | -0.14890 |
| 18 | -0.14742 |
| 19 | -0.16523 |
| 20 | -0.22195 |